Version A
# CaLaNd2 | Alexandria | PBE | optimized geometry
data_CaLaNd2
_chemical_formula_sum 'Ca1 La1 Nd2'
_cell_length_a 3.7216
_cell_length_b 3.7216
_cell_length_c 12.5541
_cell_angle_alpha 81.48
_cell_angle_beta 81.48
_cell_angle_gamma 60.00
_symmetry_space_group_name_H-M 'P 1'
_symmetry_Int_Tables_number 1
loop_
_symmetry_equiv_pos_as_xyz
'x,y,z'
loop_
_atom_site_label
_atom_site_fract_x
_atom_site_fract_y
_atom_site_fract_z
_atom_site_occupancy
Ca1 0.5000 0.5000 0.5000 1
Nd1 0.7471 0.7471 0.7587 1
Nd2 0.2529 0.2529 0.2413 1
La1 0.0000 0.0000 0.0000 1
# Spin magnetization (μB/atom): 0.00
# SG: No. 166

---

Version B
# CaLaNd2 | Alexandria | PBE | optimized geometry
data_CaLaNd2
_chemical_formula_sum 'Ca1 La1 Nd2'
_cell_length_a 4.4329
_cell_length_b 4.4329
_cell_length_c 9.2320
_cell_angle_alpha 76.11
_cell_angle_beta 76.11
_cell_angle_gamma 60.00
_symmetry_space_group_name_H-M 'P 1'
_symmetry_Int_Tables_number 1
loop_
_symmetry_equiv_pos_as_xyz
'x,y,z'
loop_
_atom_site_label
_atom_site_fract_x
_atom_site_fract_y
_atom_site_fract_z
_atom_site_occupancy
Ca1 0.5000 0.5000 0.5000 1
La1 0.0000 0.0000 0.0000 1
Nd1 0.7315 0.7315 0.8054 1
Nd2 0.2685 0.2685 0.1946 1
# Spin magnetization (μB/atom): 0.00
# SG: No. 166

---

The winner here is version A, beating the second structure by 481 meV per atom.

---

Version A
# CaLa3Nd | Alexandria | PBE | optimized geometry
data_CaLa3Nd
_chemical_formula_sum 'Ca2 La6 Nd2'
_cell_length_a 5.7758
_cell_length_b 7.4121
_cell_length_c 14.4820
_cell_angle_alpha 140.79
_cell_angle_beta 101.50
_cell_angle_gamma 90.00
_symmetry_space_group_name_H-M 'P 1'
_symmetry_Int_Tables_number 1
loop_
_symmetry_equiv_pos_as_xyz
'x,y,z'
loop_
_atom_site_label
_atom_site_fract_x
_atom_site_fract_y
_atom_site_fract_z
_atom_site_occupancy
Ca1 0.6072 0.8212 0.2143 1
Ca2 0.3928 0.1788 0.7857 1
La1 0.9975 0.7569 0.9950 1
La2 0.0025 0.2431 0.0050 1
La3 0.3965 0.6937 0.7930 1
La4 0.6035 0.3063 0.2070 1
La5 0.2047 0.8686 0.4093 1
La6 0.7953 0.1314 0.5907 1
Nd1 0.7999 0.6481 0.5999 1
Nd2 0.2001 0.3519 0.4001 1
# Spin magnetization (μB/atom): 0.00
# SG: No. 12

---

Version B
# CaLa3Nd | Alexandria | PBE | optimized geometry
data_CaLa3Nd
_chemical_formula_sum 'Ca2 La6 Nd2'
_cell_length_a 6.3071
_cell_length_b 6.3071
_cell_length_c 12.5196
_cell_angle_alpha 75.41
_cell_angle_beta 75.41
_cell_angle_gamma 60.00
_symmetry_space_group_name_H-M 'P 1'
_symmetry_Int_Tables_number 1
loop_
_symmetry_equiv_pos_as_xyz
'x,y,z'
loop_
_atom_site_label
_atom_site_fract_x
_atom_site_fract_y
_atom_site_fract_z
_atom_site_occupancy
Ca1 0.3316 0.3316 0.0053 1
Ca2 0.6684 0.6684 0.9948 1
La1 0.1090 0.4076 0.7357 1
La2 0.7476 0.1090 0.7357 1
La3 0.5924 0.2524 0.2643 1
La4 0.2524 0.8910 0.2643 1
La5 0.8910 0.5924 0.2643 1
La6 0.4076 0.7476 0.7357 1
Nd1 0.1676 0.1676 0.4973 1
Nd2 0.8324 0.8324 0.5027 1
# Spin magnetization (μB/atom): 0.00
# SG: No. 148

---

The winner here is version A, beating the second structure by 263 meV per atom.

---

Version A
# CaLa2Nd | Alexandria | PBE | optimized geometry
data_CaLa2Nd
_chemical_formula_sum 'Ca1 La2 Nd1'
_cell_length_a 3.6654
_cell_length_b 3.6654
_cell_length_c 13.3121
_cell_angle_alpha 82.09
_cell_angle_beta 82.09
_cell_angle_gamma 60.00
_symmetry_space_group_name_H-M 'P 1'
_symmetry_Int_Tables_number 1
loop_
_symmetry_equiv_pos_as_xyz
'x,y,z'
loop_
_atom_site_label
_atom_site_fract_x
_atom_site_fract_y
_atom_site_fract_z
_atom_site_occupancy
Ca1 0.0000 0.0000 0.0000 1
Nd1 0.5000 0.5000 0.5000 1
La1 0.0906 0.0906 0.7283 1
La2 0.9094 0.9094 0.2717 1
# Spin magnetization (μB/atom): 0.00
# SG: No. 166

---

Version B
# CaLa2Nd | Alexandria | PBE | optimized geometry
data_CaLa2Nd
_chemical_formula_sum 'Ca1 La2 Nd1'
_cell_length_a 3.7256
_cell_length_b 3.7256
_cell_length_c 10.8820
_cell_angle_alpha 90.00
_cell_angle_beta 90.00
_cell_angle_gamma 90.00
_symmetry_space_group_name_H-M 'P 1'
_symmetry_Int_Tables_number 1
loop_
_symmetry_equiv_pos_as_xyz
'x,y,z'
loop_
_atom_site_label
_atom_site_fract_x
_atom_site_fract_y
_atom_site_fract_z
_atom_site_occupancy
Ca1 0.5000 0.5000 0.5000 1
Nd1 0.5000 0.5000 0.0000 1
La1 0.0000 0.0000 0.7664 1
La2 0.0000 0.0000 0.2336 1
# Spin magnetization (μB/atom): 0.00
# SG: No. 123

---

The winner here is version B, beating the second structure by 77 meV per atom.